(1)
{"formula": "Zn3Fe5", "functional": "PBEsol", "state": "optimized geometry", "volume_a3_per_cell": 94, "formation_energy_mev_per_atom": 33, "total_magnetization_mub_per_cell": 11.4, "lattice": [[3.5331, 0.0000, 0.0000], [0.0000, 5.1523, 0.0041], [0.0000, -0.0446, 5.1521]], "species": ["Fe", "Fe", "Fe", "Fe", "Fe", "Zn", "Zn", "Zn"], "fractional_positions": [[0.0000, 0.0000, 0.0000], [0.0000, 0.5000, 0.0000], [0.0000, 0.0000, 0.5000], [0.5000, 0.7570, 0.7570], [0.5000, 0.2430, 0.2430], [0.0000, 0.5000, 0.5000], [0.5000, 0.7520, 0.2480], [0.5000, 0.2480, 0.7520]]}

***

(2)
{"formula": "Na2NiO3", "functional": "PBEsol", "state": "optimized geometry", "volume_a3_per_cell": 120, "total_magnetization_mub_per_cell": 0.0, "formation_energy_uncorrected_ev_per_atom": -1.176, "lattice": [[-1.9016, 3.3740, 3.3778], [0.1666, -1.0346, 5.0364], [4.0483, 3.4890, 1.4853]], "species": ["Na", "Na", "Na", "Na", "Ni", "Ni", "O", "O", "O", "O", "O", "O"], "fractional_positions": [[0.1571, 0.6858, 0.5000], [0.8429, 0.3142, 0.5000], [0.5000, 0.0000, 0.5000], [0.0000, 0.0000, 0.0000], [0.6671, 0.6659, 0.0000], [0.3329, 0.3341, 0.0000], [0.3082, 0.0000, 0.1969], [0.0670, 0.3771, 0.8035], [0.4441, 0.6229, 0.8035], [0.9330, 0.6229, 0.1965], [0.5559, 0.3771, 0.1965], [0.6918, 0.0000, 0.8031]]}

***

(3)
{"formula": "MnAs2S2O4F12", "functional": "PBEsol", "state": "optimized geometry", "volume_a3_per_cell": 620, "total_magnetization_mub_per_cell": 10.0, "formation_energy_uncorrected_ev_per_atom": -1.844, "lattice": [[8.8377, -0.0016, 0.0000], [-4.0331, 7.8638, 0.0000], [-2.4023, -3.9311, 8.9182]], "species": ["Mn", "Mn", "As", "As", "As", "As", "S", "S", "S", "S", "O", "O", "O", "O", "O", "O", "O", "O", "F", "F", "F", "F", "F", "F", "F", "F", "F", "F", "F", "F", "F", "F", "F", "F", "F", "F", "F", "F", "F", "F", "F", "F"], "fractional_positions": [[0.7978, 0.2978, 0.5000], [0.5478, 0.5478, 0.0000], [0.4458, 0.1327, 0.1109], [0.0218, 0.3349, 0.8891], [0.3827, 0.1958, 0.6109], [0.5849, 0.7718, 0.3891], [0.9428, 0.7508, 0.6894], [0.0613, 0.2533, 0.3106], [0.0008, 0.6928, 0.1894], [0.5033, 0.8113, 0.8106], [0.9194, 0.5852, 0.5858], [0.9995, 0.3337, 0.4142], [0.8352, 0.6694, 0.0858], [0.5837, 0.7495, 0.9142], [0.8441, 0.7188, 0.7846], [0.9342, 0.0594, 0.2154], [0.9688, 0.5941, 0.2846], [0.3094, 0.6842, 0.7154], [0.6009, 0.2659, 0.3089], [0.9570, 0.2919, 0.6911], [0.5159, 0.3509, 0.8089], [0.5419, 0.7070, 0.1911], [0.5256, 0.3553, 0.0957], [0.2596, 0.4300, 0.9043], [0.6053, 0.2756, 0.5957], [0.6800, 0.0096, 0.4043], [0.3784, 0.9267, 0.1340], [0.7927, 0.2444, 0.8660], [0.1767, 0.1284, 0.6340], [0.4944, 0.5427, 0.3660], [0.2715, 0.1455, 0.1522], [0.9933, 0.1193, 0.8478], [0.3955, 0.0215, 0.6522], [0.3693, 0.7433, 0.3478], [0.6342, 0.1400, 0.0776], [0.0624, 0.5566, 0.9224], [0.3900, 0.3842, 0.5776], [0.8066, 0.8124, 0.4224], [0.3072, 0.0176, 0.9185], [0.0991, 0.3887, 0.0815], [0.2676, 0.0572, 0.4185], [0.6387, 0.8491, 0.5815]]}

***

(4)
{"formula": "Tc4IrBr", "functional": "PBEsol", "state": "optimized geometry", "volume_a3_per_cell": 93, "total_magnetization_mub_per_cell": 0.0, "formation_energy_uncorrected_ev_per_atom": 0.971, "lattice": [[-3.2055, -3.6315, 1.5419], [-1.1437, -3.8639, -3.0987], [1.7424, -4.6678, 1.0079]], "species": ["Br", "Ir", "Tc", "Tc", "Tc", "Tc"], "fractional_positions": [[0.7500, 0.7500, 0.7500], [0.0000, 0.0000, 0.0000], [0.3739, 0.3739, 0.3739], [0.3739, 0.3739, 0.8782], [0.8782, 0.3739, 0.3739], [0.3739, 0.8782, 0.3739]]}

***

(5)
{"formula": "ZnS", "functional": "PBEsol", "state": "optimized geometry", "volume_a3_per_cell": 154, "total_magnetization_mub_per_cell": 0.0, "formation_energy_uncorrected_ev_per_atom": -0.810, "lattice": [[-1.7677, 1.6303, 2.9234], [-1.7686, -2.6523, -2.0410], [4.4194, -8.7645, 7.5599]], "species": ["Zn", "Zn", "Zn", "Zn", "S", "S", "S", "S"], "fractional_positions": [[0.6667, 0.3333, 0.7500], [0.3333, 0.6667, 0.2500], [0.0000, 0.0000, 0.9999], [0.0000, 0.0000, 0.4999], [0.6667, 0.3333, 0.5624], [0.3333, 0.6667, 0.0624], [0.0000, 0.0000, 0.8128], [0.0000, 0.0000, 0.3128]]}

***

(6)
{"formula": "Ta3Cr", "functional": "PBEsol", "state": "optimized geometry", "volume_a3_per_cell": 64, "formation_energy_mev_per_atom": 25, "total_magnetization_mub_per_cell": 0.0, "lattice": [[3.1424, 0.0000, 0.0000], [0.0000, 3.1424, 0.0000], [0.0000, 0.0000, 6.4945]], "species": ["Cr", "Ta", "Ta", "Ta"], "fractional_positions": [[0.0000, 0.0000, 0.0000], [0.0000, 0.0000, 0.5000], [0.5000, 0.5000, 0.2300], [0.5000, 0.5000, 0.7700]]}

***

(7)
{"formula": "La2RePb", "functional": "PBEsol", "state": "optimized geometry", "volume_a3_per_cell": 106, "formation_energy_mev_per_atom": 8, "total_magnetization_mub_per_cell": 0.0, "lattice": [[3.4105, 0.0642, 0.0000], [-0.0722, 3.4104, 0.0000], [0.0000, 0.0000, 9.1091]], "species": ["La", "La", "Pb", "Re"], "fractional_positions": [[0.0000, 0.0000, 0.1981], [0.0000, 0.0000, 0.8019], [0.5000, 0.5000, 0.5000], [0.5000, 0.5000, 0.0000]]}

***

(8)
{"formula": "ZrAlCuHg2", "functional": "PBEsol", "state": "optimized geometry", "volume_a3_per_cell": 102, "formation_energy_mev_per_atom": 321, "total_magnetization_mub_per_cell": 0.0, "lattice": [[-2.4170, -2.9361, 2.3858], [0.7888, -3.3350, -3.3050], [3.9338, -1.3602, 2.3114]], "species": ["Cu", "Hg", "Hg", "Zr", "Al"], "fractional_positions": [[0.0000, 0.0000, 0.0000], [0.0000, 0.0000, 0.5000], [0.0000, 0.5000, 0.0000], [0.5000, 0.5000, 0.5000], [0.5000, 0.0000, 0.0000]]}